This record from the Alexandria database describes crystalline Mg11Hg9Rh4 at its relaxed geometry. The functional is PBE-GGA.

For the uncorrected energy, the calculation gives -2.367 eV/atom. Its formation energy is -0.2978 eV/atom.

It has space group Cmmm (No. 65), with a = 13.670 Å, b = 20.705 Å, c = 3.319 Å, α = 90.00°, β = 90.00° and γ = 90.00°. The distinct sites, in fractional coordinates, are Mg at (0.000, 0.000, 0.000), Mg at (0.000, 0.162, 0.000), Mg at (0.000, 0.369, 0.000), Mg at (0.195, 0.500, 0.000), Mg at (0.246, 0.169, 0.000), Hg at (0.000, 0.500, 0.500), Hg at (0.113, 0.260, 0.500), Hg at (0.141, 0.075, 0.500) and Rh at (0.146, 0.402, 0.500).